(1)
The following is a DFT calculation (SCAN) of a PBEsol-optimized structure of CdFeAg.

Values from the calculation:
The mass density comes out at 9.7 Mg/m³. For the volume, the calculation gives 47.3 Å³ per cell. As for the space group: I4mm. As for the formation energy: 0.21 eV/atom. For the total magnetization, the calculation gives 2.88 Bohr magnetons per cell.

a = 6.2723 Å, b = 6.2723 Å, c = 6.2723 Å
α = 154.01°, β = 154.01°, γ = 37.08°
With the nearest neighbours (Å) after each atom.
Fractional positions:
Cd 0.0000 0.0000 0.0000  4 Fe 2.78, 4 Cd 2.82, 4 Ag 2.96
Fe 0.3373 0.3373 0.0000  4 Ag 2.71, 4 Cd 2.78, 4 Fe 2.82
Ag 0.6837 0.6837 0.0000  4 Fe 2.71, 4 Ag 2.82, 4 Cd 2.96


(2)
The following is a DFT calculation (SCAN) of a PBEsol-optimized structure of YCd2.

Values from the calculation:
The mass density comes out at 7.5 Mg/m³. For the volume, the calculation gives 69.0 Å³ per cell. As for the space group: I4/mmm. As for the formation energy: -0.34 eV/atom. For the total magnetization, the calculation gives 0.23 Bohr magnetons per cell.

a = 6.5603 Å, b = 6.5603 Å, c = 6.5603 Å
α = 150.33°, β = 150.33°, γ = 42.46°
With the nearest neighbours (Å) after each atom.
Fractional positions:
Y 0.0000 0.0000 0.0000  8 Cd 3.20, 4 Y 3.36
Cd 0.3248 0.3248 0.0000  4 Cd 3.00, 4 Y 3.20
Cd 0.6752 0.6752 0.0000  4 Cd 3.00, 4 Y 3.20


Copy entry 2 word for word.
The following is a DFT calculation (SCAN) of a PBEsol-optimized structure of YCd2.

Values from the calculation:
The mass density comes out at 7.5 Mg/m³. For the volume, the calculation gives 69.0 Å³ per cell. As for the space group: I4/mmm. As for the formation energy: -0.34 eV/atom. For the total magnetization, the calculation gives 0.23 Bohr magnetons per cell.

a = 6.5603 Å, b = 6.5603 Å, c = 6.5603 Å
α = 150.33°, β = 150.33°, γ = 42.46°
With the nearest neighbours (Å) after each atom.
Fractional positions:
Y 0.0000 0.0000 0.0000  8 Cd 3.20, 4 Y 3.36
Cd 0.3248 0.3248 0.0000  4 Cd 3.00, 4 Y 3.20
Cd 0.6752 0.6752 0.0000  4 Cd 3.00, 4 Y 3.20


Q: Which formula does entry 2 have?
A: YCd2